Record 1
Computed, not measured: a geometry-optimized Pr3Y3NiTe2 structure at the PBE level of DFT.

a = 8.639 Å, b = 8.639 Å, c = 3.923 Å
α = 90.00°, β = 90.00°, γ = 120.00°
Fractional positions:
Pr: 0.000 0.757 0.000
Pr: 0.243 0.243 0.000
Pr: 0.757 0.000 0.000
Y: 0.000 0.411 0.500
Y: 0.411 0.000 0.500
Y: 0.589 0.589 0.500
Ni: 0.000 0.000 0.500
Te: 0.333 0.667 0.000
Te: 0.667 0.333 0.000

Calculated values
Symmetry ... P-62m, No. 189
Energy relative to the lowest polymorph listed for this composition ... 89.1 meV per atom
Calculated density ... 6.57 g cm⁻³

Record 2
Computed, not measured: a geometry-optimized Pr3Y3NiTe2 structure at the PBE level of DFT.

a = 8.523 Å, b = 8.523 Å, c = 4.058 Å
α = 90.00°, β = 90.00°, γ = 120.00°
Fractional positions:
Pr: 0.000 0.405 0.000
Pr: 0.405 0.000 0.000
Pr: 0.595 0.595 0.000
Y: 0.000 0.764 0.500
Y: 0.236 0.236 0.500
Y: 0.764 0.000 0.500
Ni: 0.000 0.000 0.000
Te: 0.333 0.667 0.500
Te: 0.667 0.333 0.500

Calculated values
Symmetry ... P-62m, No. 189
Energy relative to the lowest polymorph listed for this composition ... 0.0 meV per atom
Calculated density ... 6.53 g cm⁻³

Record 3
Computed, not measured: a geometry-optimized Pr3Zr3NiTe2 structure at the PBE level of DFT.

a = 8.162 Å, b = 8.162 Å, c = 4.043 Å
α = 90.00°, β = 90.00°, γ = 120.00°
Fractional positions:
Pr: 0.000 0.598 0.000
Pr: 0.402 0.402 0.000
Pr: 0.598 0.000 0.000
Zr: 0.000 0.224 0.500
Zr: 0.224 0.000 0.500
Zr: 0.776 0.776 0.500
Ni: 0.000 0.000 0.000
Te: 0.333 0.667 0.500
Te: 0.667 0.333 0.500

Calculated values
Symmetry ... P-62m, No. 189
Energy relative to the lowest polymorph listed for this composition ... 0.0 meV per atom
Calculated density ... 7.19 g cm⁻³

Record 4
Computed, not measured: a geometry-optimized Pr3Zr3NiTe2 structure at the PBE level of DFT.

a = 8.386 Å, b = 8.386 Å, c = 3.739 Å
α = 90.00°, β = 90.00°, γ = 120.00°
Fractional positions:
Pr: 0.000 0.247 0.000
Pr: 0.247 0.000 0.000
Pr: 0.753 0.753 0.000
Zr: 0.000 0.584 0.500
Zr: 0.416 0.416 0.500
Zr: 0.584 0.000 0.500
Ni: 0.000 0.000 0.500
Te: 0.333 0.667 0.000
Te: 0.667 0.333 0.000

Calculated values
Symmetry ... P-62m, No. 189
Energy relative to the lowest polymorph listed for this composition ... 249.1 meV per atom
Calculated density ... 7.37 g cm⁻³

Record 5
Computed, not measured: a geometry-optimized PrThNi structure at the PBE level of DFT.

a = 4.873 Å, b = 4.873 Å, c = 4.873 Å
α = 60.00°, β = 60.00°, γ = 60.00°
Fractional positions:
Pr: 0.000 0.000 0.000
Th: 0.500 0.500 0.500
Ni: 0.250 0.250 0.250

Calculated values
Symmetry ... F-43m, No. 216
Energy relative to the lowest polymorph listed for this composition ... 0.0 meV per atom
Calculated density ... 8.76 g cm⁻³

Record 6
Computed, not measured: a geometry-optimized PrTlNi structure at the PBE level of DFT.

a = 4.726 Å, b = 4.726 Å, c = 4.726 Å
α = 60.00°, β = 60.00°, γ = 60.00°
Fractional positions:
Pr: 0.000 0.000 0.000
Tl: 0.500 0.500 0.500
Ni: 0.250 0.250 0.250

Calculated values
Total DFT energy (no corrections) ... -4.44 eV/atom
Symmetry ... F-43m, No. 216
Calculated density ... 8.99 g cm⁻³

| no. | total magnetic moment (μB/f.u.) |
| --- | --- |
| 1 | 0.03 |
| 2 | 0.06 |
| 3 | 1.06 |
| 4 | 0.01 |
| 5 | 0.06 |
| 6 | 0.43 |